A plane-wave DFT calculation with PBE was carried out for a geometry-optimized Ti3CuSi structure.

Output
total DFT energy (no corrections) = -6.1787 eV/atom
formation energy (no corrections) = 2.31 eV per formula unit

The structure in CIF format:
```
data_Ti3CuSi
_space_group_name_H-M_alt 'P 1'
_space_group_IT_number 1
_space_group_name_Hall 'P 1'
_cell_length_a 4.5922
_cell_length_b 4.5922
_cell_length_c 4.5922
_cell_angle_alpha 90.00
_cell_angle_beta 90.00
_cell_angle_gamma 90.00
loop_
_atom_site_label
_atom_site_type_symbol
_atom_site_fract_x
_atom_site_fract_y
_atom_site_fract_z
Ti1 Ti 0.0000 0.0000 0.5000
Ti2 Ti 0.0000 0.5000 0.0000
Ti3 Ti 0.5000 0.0000 0.0000
Cu1 Cu 0.5000 0.5000 0.5000
Si1 Si 0.0000 0.0000 0.0000
```